No. 1
Here is a geometry-optimized HoBi2Au structure from Alexandria. Energies are from PBE-GGA.

Formation energy from the elements: -0.433 eV/atom
Crystal system: tetragonal
Magnetization: 0.000 μB per atom

The structure in POSCAR format:
```
HoBi2Au
1.0
-2.777 3.269 -0.451
-2.891 -1.982 3.434
2.396 2.514 3.468
Bi Ho Au
2 1 1
Direct
0.000 0.500 0.000 Bi
0.000 0.000 0.500 Bi
0.500 0.500 0.500 Ho
0.500 0.000 0.000 Au
```


No. 2
Here is a geometry-optimized ThMo7N12 structure from Alexandria. Energies are from PBE-GGA.

Crystal system: cubic
Energy relative to the elements, uncorrected: -0.049 eV per atom
Magnetization: 0.208 μB per atom

The structure in POSCAR format:
```
ThMo7N12
1.0
-6.130 2.377 1.198
-0.246 -4.338 -5.078
2.297 -3.092 5.462
Mo N Th
7 12 1
Direct
0.500 0.000 0.000 Mo
0.500 0.500 0.500 Mo
0.000 0.000 0.500 Mo
0.000 0.500 0.000 Mo
0.000 0.500 0.500 Mo
0.500 0.000 0.500 Mo
0.500 0.500 0.000 Mo
0.822 0.126 0.303 N
0.178 0.874 0.697 N
0.303 0.178 0.481 N
0.697 0.822 0.519 N
0.822 0.519 0.697 N
0.697 0.178 0.874 N
0.303 0.822 0.126 N
0.874 0.697 0.178 N
0.178 0.481 0.303 N
0.126 0.303 0.822 N
0.481 0.303 0.178 N
0.519 0.697 0.822 N
0.000 0.000 0.000 Th
```


No. 3
Here is a geometry-optimized Co2HgBr structure from Alexandria. Energies are from PBE-GGA.

Energy above the lowest structure with this stoichiometry: 0.384 eV per atom
Crystal system: orthorhombic
Energy relative to the elements, uncorrected: 0.726 eV per atom
Magnetization: 0.879 μB per atom

The structure in POSCAR format:
```
Co2HgBr
1.0
-1.740 -1.250 2.420
3.152 -0.597 -0.393
1.824 6.545 4.691
Co Br Hg
2 1 1
Direct
0.000 0.000 0.515 Co
0.000 0.000 0.985 Co
0.500 0.500 0.750 Br
0.500 0.500 0.250 Hg
```


No. 4
Here is a geometry-optimized Ti2VCr structure from Alexandria. Energies are from PBE-GGA.

Energy above the lowest structure with this stoichiometry: 0.345 eV per atom
Formation energy from the elements: 0.434 eV/atom
Crystal system: trigonal
Magnetization: 0.006 μB per atom

The structure in POSCAR format:
```
Ti2VCr
1.0
2.766 0.000 0.000
1.383 2.395 0.000
1.383 0.798 9.151
Ti Cr V
2 1 1
Direct
0.915 0.915 0.256 Ti
0.085 0.085 0.744 Ti
0.000 0.000 0.000 Cr
0.500 0.500 0.500 V
```


No. 5
Here is a geometry-optimized PaCdCoPd structure from Alexandria. Energies are from PBE-GGA.

Formation energy from the elements: -0.196 eV/atom
Crystal system: cubic
Magnetization: 0.000 μB per atom

The structure in POSCAR format:
```
PaCdCoPd
1.0
-2.051 4.227 -0.405
-1.765 1.376 -4.151
-4.669 0.309 -0.591
Pd Co Pa Cd
1 1 1 1
Direct
0.000 0.000 0.000 Pd
0.500 0.500 0.500 Co
0.250 0.250 0.250 Pa
0.750 0.750 0.750 Cd
```


No. 6
Here is a geometry-optimized AcPuGaBi structure from Alexandria. Energies are from PBE-GGA.

Formation energy from the elements: -0.304 eV/atom
Crystal system: cubic
Magnetization: 1.529 μB per atom

The structure in POSCAR format:
```
AcPuGaBi
1.0
5.561 0.000 0.000
2.780 4.816 0.000
2.780 1.605 4.540
Bi Ac Ga Pu
1 1 1 1
Direct
0.750 0.750 0.750 Bi
0.500 0.500 0.500 Ac
0.250 0.250 0.250 Ga
0.000 0.000 0.000 Pu
```


No. 7
Here is a geometry-optimized LaTaCo3 structure from Alexandria. Energies are from PBE-GGA.

Energy above the lowest structure with this stoichiometry: 1.083 eV per atom
Formation energy from the elements: 1.638 eV/atom
Crystal system: cubic
Magnetization: 0.000 μB per atom

The structure in POSCAR format:
```
LaTaCo3
1.0
4.465 0.000 0.000
0.000 4.465 0.000
0.000 0.000 4.465
Co Ta La
3 1 1
Direct
0.500 0.000 0.000 Co
0.000 0.500 0.000 Co
0.000 0.000 0.500 Co
0.500 0.500 0.500 Ta
0.000 0.000 0.000 La
```


No. 8
Here is a geometry-optimized Ca3NbOs structure from Alexandria. Energies are from PBE-GGA.

Energy above the lowest structure with this stoichiometry: 0.000 eV per atom
Formation energy from the elements: 1.077 eV/atom
Crystal system: cubic
Magnetization: 1.000 μB per atom

The structure in POSCAR format:
```
Ca3NbOs
1.0
5.456 0.000 0.000
0.000 5.456 0.000
0.000 0.000 5.456
Os Ca Nb
1 3 1
Direct
0.000 0.000 0.000 Os
0.500 0.000 0.000 Ca
0.000 0.500 0.000 Ca
0.000 0.000 0.500 Ca
0.500 0.500 0.500 Nb
```